# 1
# La7NdEr3

Crystalline La7NdEr3 at its relaxed geometry (GGA-PBE, the Alexandria database).

Computed properties:
Energy above the lowest structure with this stoichiometry ... 40 meV per atom
Theoretical density ... 6.8 g cm⁻³
E_form ... 0.216 eV per atom

a = 11.837 Å, b = 10.339 Å, c = 6.496 Å
α = 90.00°, β = 96.33°, γ = 90.00°
Space group C2/m (No. 12)
Unique sites:
La  0.000  0.000  0.000
La  0.235  0.500  0.212
La  0.244  0.320  0.736
Nd  0.000  0.000  0.500
Er  0.000  0.334  0.000
Er  0.000  0.500  0.500

***

# 2
# La3Nd3Er2

Crystalline La3Nd3Er2 at its relaxed geometry (GGA-PBE, the Alexandria database).

Computed properties:
Theoretical density ... 7.1 g cm⁻³
E_form ... 0.022 eV per atom

a = 5.188 Å, b = 5.205 Å, c = 20.582 Å
α = 90.00°, β = 90.00°, γ = 90.00°
Space group Immm (No. 71)
Unique sites:
La  0.000  0.000  0.000
La  0.000  0.500  0.128
Nd  0.000  0.000  0.500
Nd  0.000  0.500  0.371
Er  0.000  0.000  0.249

***

# 3
# LaNd5Er12

Crystalline LaNd5Er12 at its relaxed geometry (GGA-PBE, the Alexandria database).

Computed properties:
Theoretical density ... 8.1 g cm⁻³
E_form ... 0.096 eV per atom

a = 11.455 Å, b = 17.255 Å, c = 5.926 Å
α = 90.00°, β = 90.09°, γ = 90.00°
Space group C2/m (No. 12)
Unique sites:
La  0.000  0.000  0.000
Nd  0.000  0.167  0.500
Nd  0.000  0.331  0.000
Nd  0.000  0.500  0.500
Er  0.175  0.500  0.950
Er  0.178  0.333  0.554
Er  0.180  0.000  0.549
Er  0.180  0.167  0.946

***

# 4
# LaNdEr4

Crystalline LaNdEr4 at its relaxed geometry (GGA-PBE, the Alexandria database).

Computed properties:
Energy above the lowest structure with this stoichiometry ... 0 meV per atom
Theoretical density ... 8.1 g cm⁻³
E_form ... 0.029 eV per atom

a = 5.042 Å, b = 6.197 Å, c = 7.174 Å
α = 106.84°, β = 90.05°, γ = 113.97°
Space group P-1 (No. 2)
Unique sites:
La  0.000  0.000  0.000
Nd  0.000  0.000  0.500
Er  0.330  0.661  0.665
Er  0.332  0.664  0.167

***

# 5
# La4Nd2Er3

Crystalline La4Nd2Er3 at its relaxed geometry (GGA-PBE, the Alexandria database).

Computed properties:
Energy above the lowest structure with this stoichiometry ... 88 meV per atom
Theoretical density ... 7.1 g cm⁻³
E_form ... 0.144 eV per atom

a = 6.465 Å, b = 12.308 Å, c = 15.772 Å
α = 90.00°, β = 90.00°, γ = 90.00°
Space group Fmmm (No. 69)
Unique sites:
La  0.000  0.143  0.190
Nd  0.000  0.000  0.391
Er  0.000  0.000  0.000
Er  0.250  0.250  0.000

***

# 6
# La3Nd3Er4

Crystalline La3Nd3Er4 at its relaxed geometry (GGA-PBE, the Alexandria database).

Computed properties:
Theoretical density ... 7.2 g cm⁻³
E_form ... 0.085 eV per atom

a = 3.658 Å, b = 13.812 Å, c = 13.817 Å
α = 90.00°, β = 90.00°, γ = 90.00°
Space group Amm2 (No. 38)
Unique sites:
La  0.000  0.000  0.000
La  0.500  0.249  0.575
Nd  0.000  0.000  0.650
Nd  0.000  0.175  0.325
Er  0.500  0.000  0.205
Er  0.500  0.000  0.446
Er  0.500  0.121  0.823